# 1
The following is a PBE calculation of a relaxed MnAg2Cl8 crystal, from Alexandria via LeMat-Bulk.

Cell: 7.529 7.529 8.148 Å, 93.04 93.04 43.39°
Element x y z (fractional)
Mn  0.000  0.000  0.000
Ag  0.161  0.161  0.424
Ag  0.839  0.839  0.576
Cl  0.001  0.001  0.288
Cl  0.134  0.620  0.995
Cl  0.321  0.321  0.555
Cl  0.380  0.866  0.005
Cl  0.620  0.134  0.995
Cl  0.679  0.679  0.445
Cl  0.866  0.380  0.005
Cl  0.999  0.999  0.712

Computed properties:
- symmetry = C2/m (12)
- uncorrected formation energy (eV per atom) = -0.463
- M_tot (μB/f.u.) = 2.9

---

# 2
The following is a PBE calculation of a relaxed MnAgCl crystal, from Alexandria via LeMat-Bulk.

Cell: 4.454 4.454 3.280 Å, 90.00 90.00 120.00°
Element x y z (fractional)
Mn  0.000  0.000  0.000
Ag  0.667  0.333  0.500
Cl  0.333  0.667  0.000

Computed properties:
- ΔE to the lowest computed polymorph (eV/f.u.) = 1.08
- symmetry = P-6m2 (187)
- uncorrected formation energy (eV per atom) = 0.232
- M_tot (μB/f.u.) = 4.0

---

no.,E_tot (eV/f.u.)
1,-34.7
2,-13.2